NaV2O (PBE with a Hubbard U, relaxed); polymorph energy (0 for the lowest one) = 0.0 meV per atom; V = 23.2 Å³ per atom; crystal system = tetragonal; calculated density = 2.52 Mg/m³; DOS(E_F) = 0.4635 states/eV per atom
1.0
6.397 0.000 0.000
0.000 6.397 0.000
3.199 3.199 4.531
Na V O
2 4 2
direct
0.750 0.250 0.500
0.000 0.000 0.000
0.375 0.125 0.250
0.875 0.625 0.750
0.375 0.625 0.250
0.375 0.625 0.750
0.250 0.750 0.500
0.500 0.500 0.000